Entry 1:
Li2Mg3Tl3Zn (PBE, relaxed); total magnetic moment = 0.0 μB per formula unit; E_tot = -1.99 eV/atom
1.0
8.340 0.000 0.000
-4.170 7.223 0.000
0.000 0.000 3.227
Li Mg Tl Zn
2 3 3 1
Cartesian
0.000 4.815 0.000
4.170 2.408 0.000
-3.002 5.200 0.000
1.168 2.023 0.000
6.004 0.000 0.000
-1.573 2.724 1.613
3.145 0.000 1.613
2.597 4.499 1.613
0.000 0.000 1.613


Entry 2:
Li2TmMg4 (PBE, relaxed); total magnetic moment = 0.0 μB per formula unit; E_tot = -2.09 eV/atom
1.0
3.363 0.000 0.000
0.000 29.482 0.000
0.000 0.000 3.325
Li Tm Mg
4 2 8
Cartesian
0.000 6.218 0.000
0.000 23.264 0.000
1.681 8.523 0.000
1.681 20.959 0.000
0.000 14.741 1.663
1.681 0.000 1.663
0.000 2.323 0.000
0.000 10.391 1.663
0.000 19.091 1.663
0.000 27.159 0.000
1.681 4.350 1.663
1.681 12.418 0.000
1.681 17.064 0.000
1.681 25.133 1.663


Entry 3:
LiTmMg5 (PBE, relaxed); relative energy among the computed polymorphs = 33 meV/atom; total magnetic moment = 0.0 μB per formula unit; E_tot = -1.99 eV/atom
1.0
5.601 0.000 0.000
0.000 9.127 0.000
-2.153 0.000 6.544
Li Tm Mg
2 2 10
Cartesian
0.000 0.000 0.000
2.800 4.564 0.000
-1.076 4.564 3.272
1.724 0.000 3.272
0.000 4.564 0.000
-0.977 1.731 4.782
-0.977 7.396 4.782
1.624 2.832 1.762
1.624 6.295 1.762
2.800 0.000 0.000
1.824 2.832 4.782
1.824 6.295 4.782
4.425 1.731 1.762
4.425 7.396 1.762


Entry 4:
Li2Tm2Mg3 (PBE, relaxed); total magnetic moment = 0.0 μB per formula unit; E_tot = -2.51 eV/atom
1.0
4.006 0.000 0.000
0.000 23.589 0.000
0.000 0.000 3.548
Li Tm Mg
4 4 6
Cartesian
0.000 5.052 0.000
0.000 18.537 0.000
2.003 6.742 0.000
2.003 16.847 0.000
0.000 1.797 0.000
0.000 21.792 0.000
2.003 9.998 0.000
2.003 13.591 0.000
0.000 8.023 1.774
0.000 11.794 1.774
0.000 15.566 1.774
2.003 0.000 1.774
2.003 3.772 1.774
2.003 19.817 1.774


Entry 5:
LiTm2Mg (PBE, relaxed); relative energy among the computed polymorphs = 15 meV/atom; total magnetic moment = 0.4 μB per formula unit; E_tot = -3.05 eV/atom
1.0
7.438 0.000 0.000
0.000 7.438 0.000
0.000 0.000 7.438
Li Tm Mg
4 8 4
Cartesian
0.000 0.000 0.000
0.000 3.719 3.719
3.719 0.000 3.719
3.719 3.719 0.000
1.859 1.859 1.859
1.859 1.859 5.578
1.859 5.578 1.859
1.859 5.578 5.578
5.578 1.859 1.859
5.578 1.859 5.578
5.578 5.578 1.859
5.578 5.578 5.578
0.000 0.000 3.719
0.000 3.719 0.000
3.719 0.000 0.000
3.719 3.719 3.719


Entry 6:
LiTm2Mg2 (PBE, relaxed); total magnetic moment = 0.0 μB per formula unit; E_tot = -2.48 eV/atom
1.0
4.405 0.000 0.000
0.000 4.405 0.000
0.000 0.000 15.376
Li Tm Mg
2 4 4
Cartesian
0.000 0.000 0.000
2.203 2.203 7.688
0.000 2.203 3.844
0.000 2.203 11.532
2.203 0.000 3.844
2.203 0.000 11.532
0.000 0.000 6.247
0.000 0.000 9.130
2.203 2.203 1.442
2.203 2.203 13.935


Entry 7:
LiTmMg6 (PBE, relaxed); total magnetic moment = 0.0 μB per formula unit; E_tot = -2.01 eV/atom
1.0
5.168 0.000 0.000
0.000 6.545 0.000
0.000 0.000 11.310
Li Tm Mg
2 2 12
Cartesian
0.000 0.000 0.000
0.000 3.272 5.655
2.584 0.000 7.553
2.584 3.272 1.898
0.000 0.000 5.636
0.000 1.612 2.841
0.000 1.660 8.496
0.000 3.272 11.291
0.000 4.885 8.496
0.000 4.932 2.841
2.584 0.000 1.927
2.584 1.607 4.710
2.584 1.665 10.364
2.584 3.272 7.582
2.584 4.880 10.364
2.584 4.937 4.710


Entry 8:
LiTmMg4 (PBE, relaxed); relative energy among the computed polymorphs = 95 meV/atom; total magnetic moment = 0.0 μB per formula unit; E_tot = -2.08 eV/atom
1.0
0.000 4.203 4.203
4.203 0.000 4.203
4.203 4.203 0.000
Li Tm Mg
1 1 4
Cartesian
0.000 0.000 0.000
6.304 6.304 6.304
3.153 3.153 3.153
5.253 5.253 3.153
5.253 3.153 5.253
3.153 5.253 5.253


Entry 9:
LiTmMg4 (PBE, relaxed); relative energy among the computed polymorphs = 27 meV/atom; total magnetic moment = 0.0 μB per formula unit; E_tot = -2.15 eV/atom
1.0
9.901 0.000 0.000
0.000 3.239 0.000
0.000 0.000 8.790
Li Tm Mg
2 2 8
Cartesian
2.475 0.000 1.550
7.426 0.000 7.241
2.475 0.000 4.753
7.426 0.000 4.037
0.000 0.000 0.000
0.216 1.620 2.815
2.475 1.620 7.658
4.734 1.620 2.815
4.950 0.000 0.000
5.167 1.620 5.975
7.426 1.620 1.132
9.685 1.620 5.975


Entry 10:
Li3TmMg3 (PBE, relaxed); total magnetic moment = 0.0 μB per formula unit; E_tot = -1.65 eV/atom
1.0
7.013 0.000 0.000
0.000 7.013 0.000
0.000 0.000 7.013
Li Tm Mg
6 2 6
Cartesian
0.000 1.753 3.506
0.000 5.260 3.506
1.753 3.506 0.000
3.506 0.000 1.753
3.506 0.000 5.260
5.260 3.506 0.000
0.000 0.000 0.000
3.506 3.506 3.506
0.000 3.506 1.753
0.000 3.506 5.260
1.753 0.000 3.506
3.506 1.753 0.000
3.506 5.260 0.000
5.260 0.000 3.506


Entry 11:
Li5TmMg7 (PBE, relaxed); total magnetic moment = 0.0 μB per formula unit; E_tot = -1.95 eV/atom
1.0
-2.706 5.077 5.114
2.706 -5.077 5.114
2.706 5.077 -5.114
Li Tm Mg
5 1 7
Cartesian
0.000 0.000 0.000
1.351 2.522 -0.358
4.060 2.522 -0.358
-1.354 2.555 4.756
1.354 2.555 4.756
2.706 0.000 2.229
2.706 2.994 -2.938
0.000 2.082 2.176
0.000 0.000 4.366
2.706 3.555 2.200
0.000 5.077 0.678
0.000 1.522 7.314
0.000 5.077 3.752


Entry 12:
Li3TmMg9 (PBE, relaxed); total magnetic moment = 0.0 μB per formula unit; E_tot = -1.91 eV/atom
1.0
2.749 -7.262 0.000
2.749 7.262 0.000
-2.668 0.000 7.248
Li Tm Mg
3 1 9
Cartesian
0.000 0.000 0.000
0.040 3.631 3.624
0.040 -3.631 3.624
1.415 0.000 3.624
1.432 5.711 2.115
1.390 2.571 1.110
1.398 5.711 5.132
1.439 2.571 6.138
2.749 0.000 0.000
1.390 -2.571 1.110
1.432 -5.711 2.115
1.439 -2.571 6.138
1.398 -5.711 5.132


Entry 13:
LiTmMg5 (PBE, relaxed); relative energy among the computed polymorphs = 0 meV/atom; total magnetic moment = 0.0 μB per formula unit; E_tot = -2.02 eV/atom
1.0
4.623 0.000 0.000
0.000 4.623 0.000
0.000 0.000 8.007
Li Tm Mg
1 1 5
Cartesian
0.000 0.000 0.000
0.000 0.000 4.004
0.000 2.312 1.692
0.000 2.312 6.315
2.312 0.000 1.692
2.312 0.000 6.315
2.312 2.312 4.004


Entry 14:
Li3TmMg4 (PBE, relaxed); total magnetic moment = 0.0 μB per formula unit; E_tot = -2.13 eV/atom
1.0
3.467 0.000 0.000
0.000 3.467 0.000
0.000 0.000 14.562
Li Tm Mg
3 1 4
Cartesian
0.000 0.000 0.000
0.000 0.000 3.399
0.000 0.000 11.163
0.000 0.000 7.281
1.733 1.733 1.662
1.733 1.733 5.058
1.733 1.733 9.504
1.733 1.733 12.900


Entry 15:
LiTmMg6 (PBE, relaxed); total magnetic moment = 0.0 μB per formula unit; E_tot = -2.01 eV/atom
1.0
4.574 0.000 0.000
0.000 4.574 0.000
0.000 0.000 9.063
Li Tm Mg
1 1 6
Cartesian
0.000 0.000 0.000
0.000 0.000 4.532
0.000 2.287 2.180
0.000 2.287 6.883
2.287 0.000 2.180
2.287 0.000 6.883
2.287 2.287 0.000
2.287 2.287 4.532


Entry 16:
LiTm2Mg (PBE, relaxed); relative energy among the computed polymorphs = 147 meV/atom; total magnetic moment = 0.0 μB per formula unit; E_tot = -2.91 eV/atom
1.0
3.334 0.000 0.000
-1.667 2.887 0.000
0.000 0.000 35.160
Li Tm Mg
3 6 3
Cartesian
0.000 0.000 0.000
0.000 1.925 23.440
1.667 0.962 11.720
0.000 0.000 3.186
0.000 0.000 31.974
0.000 1.925 20.254
0.000 1.925 26.626
1.667 0.962 8.534
1.667 0.962 14.906
0.000 0.000 17.580
0.000 1.925 5.860
1.667 0.962 29.300


Entry 17:
LiTm2Mg4 (PBE, relaxed); relative energy among the computed polymorphs = 0 meV/atom; total magnetic moment = 0.0 μB per formula unit; E_tot = -2.42 eV/atom
1.0
3.390 0.000 0.000
0.000 29.816 0.000
0.000 0.000 3.408
Li Tm Mg
2 4 8
Cartesian
0.000 0.000 0.000
1.695 14.908 0.000
0.000 8.929 1.704
0.000 20.887 1.704
1.695 5.979 1.704
1.695 23.838 1.704
0.000 3.687 0.000
0.000 13.178 1.704
0.000 16.638 1.704
0.000 26.129 0.000
1.695 1.730 1.704
1.695 11.221 0.000
1.695 18.595 0.000
1.695 28.087 1.704


Entry 18:
LiTm2Mg (PBE, relaxed); relative energy among the computed polymorphs = 0 meV/atom; total magnetic moment = 0.0 μB per formula unit; E_tot = -3.06 eV/atom
1.0
3.709 0.000 0.000
0.000 3.709 0.000
0.000 0.000 7.428
Li Tm Mg
1 2 1
Cartesian
0.000 0.000 0.000
1.854 1.854 1.849
1.854 1.854 5.579
0.000 0.000 3.714


Entry 19:
Li3TmMg7 (PBE, relaxed); total magnetic moment = 0.0 μB per formula unit; E_tot = -1.84 eV/atom
1.0
4.995 -4.398 0.000
4.995 4.398 0.000
-0.612 0.000 5.995
Li Tm Mg
3 1 7
Cartesian
0.000 0.000 0.000
4.689 2.791 2.998
4.689 -2.791 2.998
4.995 0.000 0.000
2.260 1.512 1.385
1.801 0.000 4.157
2.260 -1.512 1.385
4.689 0.000 2.998
7.118 1.512 4.611
7.577 0.000 1.838
7.118 -1.512 4.611


Entry 20:
LiTmMg4 (PBE, relaxed); relative energy among the computed polymorphs = 0 meV/atom; total magnetic moment = 0.0 μB per formula unit; E_tot = -2.18 eV/atom
1.0
3.413 0.000 0.000
0.000 3.413 0.000
0.000 0.000 11.854
Li Tm Mg
1 1 4
Cartesian
0.000 0.000 0.000
1.706 1.706 5.927
0.000 0.000 3.652
0.000 0.000 8.202
1.706 1.706 1.687
1.706 1.706 10.167


Entry 21:
LiTm3Mg7 (PBE, relaxed); total magnetic moment = 0.0 μB per formula unit; E_tot = -2.32 eV/atom
1.0
1.641 -10.943 0.000
1.641 10.943 0.000
0.000 0.000 15.655
Li Tm Mg
2 6 14
Cartesian
1.641 8.534 11.741
1.641 -8.534 3.914
1.641 9.169 0.572
1.641 9.169 7.256
1.641 5.390 11.741
1.641 -5.390 3.914
1.641 -9.169 8.399
1.641 -9.169 15.083
1.641 4.563 8.848
1.641 4.563 14.634
1.641 3.651 1.758
1.641 3.651 6.070
1.641 2.123 11.741
1.641 0.558 2.178
1.641 0.558 5.649
1.641 -0.558 10.006
1.641 -0.558 13.477
1.641 -2.123 3.914
1.641 -3.651 9.585
1.641 -3.651 13.897
1.641 -4.563 1.021
1.641 -4.563 6.807